DFT (PBE) results for Ba3Li3In8 after structural relaxation.

Calculated values
Calculated formation energy, meV per atom: -338
Density of states at the Fermi level, states/eV per atom: 0.596

Lattice parameters (Å, degrees): 18.3901 4.9791 11.2877 90.00 127.58 90.00
Space group C2/m (No. 12)
Asymmetric unit:
Ba (0.0000, 0.0000, 0.0000)
Ba (0.2004, 0.5000, 0.6992)
Li (0.0000, 0.0000, 0.5000)
Li (0.1658, 0.5000, 0.0126)
In (0.0034, 0.5000, 0.6931)
In (0.1303, 0.0000, 0.8511)
In (0.1401, 0.0000, 0.4200)
In (0.1557, 0.5000, 0.2768)


DFT (PBE) results for BaLi5In7 after structural relaxation.

Calculated values
Calculated formation energy, meV per atom: -304
Density of states at the Fermi level, states/eV per atom: 0.372

Lattice parameters (Å, degrees): 5.8236 10.1462 10.1548 90.00 90.00 90.00
Space group Imm2 (No. 44)
Asymmetric unit:
Ba (0.0000, 0.0000, 0.0000)
Li (0.0000, 0.5000, 0.2693)
Li (0.2458, 0.2512, 0.7456)
In (0.0000, 0.0000, 0.3452)
In (0.0000, 0.0000, 0.6468)
In (0.0000, 0.2793, 0.4874)
In (0.0000, 0.3497, 0.0088)
In (0.0000, 0.5000, 0.7295)


DFT (PBE) results for BaLi2In6 after structural relaxation.

Calculated values
Calculated formation energy, meV per atom: -228
Density of states at the Fermi level, states/eV per atom: 0.243

Lattice parameters (Å, degrees): 4.6783 8.2684 13.2810 90.00 90.00 90.00
Space group Immm (No. 71)
Asymmetric unit:
Ba (0.0000, 0.0000, 0.0000)
Li (0.0000, 0.5000, 0.1152)
In (0.0000, 0.1683, 0.5000)
In (0.0000, 0.3164, 0.3028)


DFT (PBE) results for Ba4LiIn4 after structural relaxation.

Calculated values
Calculated formation energy, meV per atom: -153
Density of states at the Fermi level, states/eV per atom: 1.230

Lattice parameters (Å, degrees): 7.2312 7.2312 14.5252 90.00 90.00 90.00
Space group I-42m (No. 121)
Asymmetric unit:
Ba (0.2091, 0.2091, 0.3570)
Li (0.0000, 0.0000, 0.0000)
In (0.2081, 0.2081, 0.1022)


DFT (PBE) results for BaLi2In4 after structural relaxation.

Calculated values
Calculated formation energy, meV per atom: -255
Density of states at the Fermi level, states/eV per atom: 0.379

Lattice parameters (Å, degrees): 3.4000 4.8773 22.4531 90.00 90.00 90.00
Space group Immm (No. 71)
Asymmetric unit:
Ba (0.0000, 0.0000, 0.0000)
Li (0.0000, 0.5000, 0.2070)
In (0.0000, 0.0000, 0.4101)
In (0.0000, 0.5000, 0.3369)


DFT (PBE) results for Ba3Li4In2 after structural relaxation.

Calculated values
Calculated formation energy, meV per atom: -212
Density of states at the Fermi level, states/eV per atom: 0.796

Lattice parameters (Å, degrees): 12.1187 5.0952 9.9613 90.00 104.06 90.00
Space group C2/m (No. 12)
Asymmetric unit:
Ba (0.0000, 0.0000, 0.0000)
Ba (0.1216, 0.5000, 0.3764)
Li (0.0991, 0.0000, 0.6617)
Li (0.2355, 0.5000, 0.0679)
In (0.1963, 0.5000, 0.7692)


DFT (PBE) results for BaLi12In6 after structural relaxation.

Calculated values
Calculated formation energy, meV per atom: -176
Density of states at the Fermi level, states/eV per atom: 0.567

Lattice parameters (Å, degrees): 12.1408 12.1408 9.9822 90.00 90.00 120.00
Space group R-3m (No. 166, hexagonal axes)
Asymmetric unit:
Ba (0.0000, 0.0000, 0.0000)
Li (0.0000, 0.3909, 0.5000)
Li (0.0990, 0.1981, 0.2982)
In (0.0678, 0.5339, 0.2476)


DFT (PBE) results for BaLiIn6 after structural relaxation.

Calculated values
Polymorph energy (0 for the lowest one), kJ/mol of formula units: 0
Calculated formation energy, meV per atom: -259
Density of states at the Fermi level, states/eV per atom: 0.387

Lattice parameters (Å, degrees): 5.0324 5.0324 8.9507 90.00 90.00 90.00
Space group P4/mmm (No. 123)
Asymmetric unit:
Ba (0.0000, 0.0000, 0.0000)
Li (0.0000, 0.0000, 0.5000)
In (0.0000, 0.5000, 0.3341)
In (0.5000, 0.5000, 0.1581)


DFT (PBE) results for BaLi4In8 after structural relaxation.

Calculated values
Calculated formation energy, meV per atom: -288
Density of states at the Fermi level, states/eV per atom: 0.399

Lattice parameters (Å, degrees): 10.2442 10.2442 5.8787 90.00 90.00 90.00
Space group I4/mmm (No. 139)
Asymmetric unit:
Ba (0.0000, 0.0000, 0.0000)
Li (0.2500, 0.2500, 0.2500)
In (0.0000, 0.2254, 0.5000)
In (0.0000, 0.3477, 0.0000)


DFT (PBE) results for Ba6LiIn2 after structural relaxation.

Calculated values
Calculated formation energy, meV per atom: -146
Density of states at the Fermi level, states/eV per atom: 1.224

Lattice parameters (Å, degrees): 10.8874 6.2638 11.8841 90.00 90.06 90.00
Space group C2/m (No. 12)
Asymmetric unit:
Ba (0.0011, 0.0000, 0.2889)
Ba (0.1664, 0.5000, 0.9114)
Ba (0.1667, 0.5000, 0.5517)
Li (0.0000, 0.0000, 0.0000)
In (0.1687, 0.5000, 0.2421)


DFT (PBE) results for Ba2Li3In after structural relaxation.

Calculated values
Calculated formation energy, meV per atom: -125
Density of states at the Fermi level, states/eV per atom: 0.891

Lattice parameters (Å, degrees): 11.0738 6.5298 6.4594 90.00 124.38 90.00
Space group C2/m (No. 12)
Asymmetric unit:
Ba (0.1273, 0.0000, 0.3722)
Li (0.0000, 0.5000, 0.5000)
Li (0.2500, 0.2500, 0.0000)
In (0.0000, 0.5000, 0.0000)


DFT (PBE) results for BaLi10In after structural relaxation.

Calculated values
Calculated formation energy, meV per atom: 9
Density of states at the Fermi level, states/eV per atom: 0.460

Lattice parameters (Å, degrees): 4.8201 5.8065 10.0743 90.00 90.00 90.00
Space group Pmmm (No. 47)
Asymmetric unit:
Ba (0.0000, 0.0000, 0.0000)
Li (0.0000, 0.0000, 0.3598)
Li (0.0000, 0.5000, 0.2081)
Li (0.5000, 0.0000, 0.5000)
Li (0.5000, 0.2728, 0.2907)
Li (0.5000, 0.5000, 0.0000)
In (0.0000, 0.5000, 0.5000)


DFT (PBE) results for BaLi3In3 after structural relaxation.

Calculated values
Calculated formation energy, meV per atom: -17
Density of states at the Fermi level, states/eV per atom: 0.640

Lattice parameters (Å, degrees): 7.4280 7.4280 7.4280 90.00 90.00 90.00
Space group Pm-3n (No. 223)
Asymmetric unit:
Ba (0.0000, 0.0000, 0.0000)
Li (0.0000, 0.2500, 0.5000)
In (0.0000, 0.5000, 0.2500)


DFT (PBE) results for Ba4Li3In after structural relaxation.

Calculated values
Calculated formation energy, meV per atom: -80
Density of states at the Fermi level, states/eV per atom: 0.907

Lattice parameters (Å, degrees): 4.8441 5.4133 13.2089 90.00 90.00 90.00
Space group Pmm2 (No. 25)
Asymmetric unit:
Ba (0.0000, 0.0000, 0.0000)
Ba (0.0000, 0.5000, 0.2782)
Ba (0.5000, 0.0000, 0.4831)
Ba (0.5000, 0.5000, 0.7832)
Li (0.0000, 0.0000, 0.6981)
Li (0.0000, 0.5000, 0.5754)
Li (0.5000, 0.5000, 0.0856)
In (0.5000, 0.0000, 0.2003)


DFT (PBE) results for BaLi2In3 after structural relaxation.

Calculated values
Calculated formation energy, meV per atom: -365
Density of states at the Fermi level, states/eV per atom: 0.392

Lattice parameters (Å, degrees): 11.8623 9.5577 5.6105 90.00 90.00 90.00
Space group Cmcm (No. 63)
Asymmetric unit:
Ba (0.0000, 0.1721, 0.2500)
Li (0.2073, 0.5000, 0.0000)
In (0.0000, 0.4286, 0.7500)
In (0.1911, 0.2232, 0.7500)


DFT (PBE) results for Ba2LiIn3 after structural relaxation.

Calculated values
Calculated formation energy, meV per atom: -393
Density of states at the Fermi level, states/eV per atom: 0.810

Lattice parameters (Å, degrees): 12.1183 5.2442 8.5352 90.00 132.68 90.00
Space group Cm (No. 8)
Asymmetric unit:
Ba (0.0000, 0.0000, 0.0000)
Ba (0.0904, 0.0000, 0.5927)
Li (0.2085, 0.5000, 0.0300)
In (0.2030, 0.5000, 0.3999)
In (0.3746, 0.0000, 0.1871)
In (0.3844, 0.0000, 0.5704)


DFT (PBE) results for Ba2Li6In9 after structural relaxation.

Calculated values
Calculated formation energy, meV per atom: -219
Density of states at the Fermi level, states/eV per atom: 0.494

Lattice parameters (Å, degrees): 6.1375 6.1375 14.3991 90.00 90.00 120.00
Space group P6/mmm (No. 191)
Asymmetric unit:
Ba (0.0000, 0.0000, 0.1652)
Li (0.3333, 0.6667, 0.1632)
Li (0.3333, 0.6667, 0.5000)
In (0.0000, 0.5000, 0.0000)
In (0.0000, 0.5000, 0.3287)


DFT (PBE) results for BaLi7In5 after structural relaxation.

Calculated values
Calculated formation energy, meV per atom: -261
Density of states at the Fermi level, states/eV per atom: 0.377

Lattice parameters (Å, degrees): 6.0922 10.0035 9.9554 90.00 90.00 90.00
Space group Imm2 (No. 44)
Asymmetric unit:
Ba (0.0000, 0.0000, 0.0000)
Li (0.0000, 0.0000, 0.3463)
Li (0.0000, 0.0000, 0.6517)
Li (0.0000, 0.2808, 0.4949)
Li (0.0000, 0.3505, 0.0054)
Li (0.0000, 0.5000, 0.7202)
In (0.0000, 0.5000, 0.2912)
In (0.2439, 0.2574, 0.7468)


DFT (PBE) results for BaLi6In12 after structural relaxation.

Calculated values
Calculated formation energy, meV per atom: -168
Density of states at the Fermi level, states/eV per atom: 0.461

Lattice parameters (Å, degrees): 12.8068 12.8068 9.8226 90.00 90.00 120.00
Space group R-3m (No. 166, hexagonal axes)
Asymmetric unit:
Ba (0.0000, 0.0000, 0.0000)
Li (0.0397, 0.5199, 0.2501)
In (0.0000, 0.3830, 0.5000)
In (0.0858, 0.1717, 0.3302)


DFT (PBE) results for Ba2LiIn2 after structural relaxation.

Calculated values
Polymorph energy (0 for the lowest one), kJ/mol of formula units: 43
Calculated formation energy, meV per atom: -242
Density of states at the Fermi level, states/eV per atom: 1.227

Lattice parameters (Å, degrees): 8.4985 8.4985 5.3070 90.00 90.00 90.00
Space group P4/mbm (No. 127)
Asymmetric unit:
Ba (0.1656, 0.3344, 0.0000)
Li (0.0000, 0.0000, 0.5000)
In (0.1326, 0.6326, 0.5000)